Arrangement w

# KGeCl, optimized geometry, DFT PBE
data_KGeCl
_cell_length_a 4.173
_cell_length_b 4.173
_cell_length_c 12.232
_cell_angle_alpha 99.87
_cell_angle_beta 99.87
_cell_angle_gamma 60.02
_symmetry_space_group_name_H-M 'P 1'
_symmetry_Int_Tables_number 1
loop_
_symmetry_equiv_pos_as_xyz
'x,y,z'
loop_
_atom_site_label
_atom_site_type_symbol
_atom_site_fract_x
_atom_site_fract_y
_atom_site_fract_z
K1 K 0.000 0.000 0.000
K2 K 0.112 0.112 0.336
Ge1 Ge 0.210 0.210 0.638
Ge2 Ge 0.520 0.520 0.568
Cl1 Cl 0.282 0.282 0.846
Cl2 Cl 0.392 0.392 0.175
# DOS(E_F)	0.00	states/eV/f.u.

***

Arrangement x

# KGeCl, optimized geometry, DFT PBE
data_KGeCl
_cell_length_a 12.136
_cell_length_b 12.136
_cell_length_c 12.136
_cell_angle_alpha 19.88
_cell_angle_beta 19.88
_cell_angle_gamma 19.88
_symmetry_space_group_name_H-M 'P 1'
_symmetry_Int_Tables_number 1
loop_
_symmetry_equiv_pos_as_xyz
'x,y,z'
loop_
_atom_site_label
_atom_site_type_symbol
_atom_site_fract_x
_atom_site_fract_y
_atom_site_fract_z
K1 K 0.000 0.000 0.000
K2 K 0.112 0.112 0.112
Ge1 Ge 0.212 0.212 0.212
Ge2 Ge 0.522 0.522 0.522
Cl1 Cl 0.282 0.282 0.282
Cl2 Cl 0.725 0.725 0.725
# DOS(E_F)	0.00	states/eV/f.u.

***

Most stable: arrangement x. Least stable: arrangement w.